This record from the Alexandria database describes a relaxed Pm3Pr3Pd4 crystal. The functional is GGA-PBE.

Properties
DFT total energy	-5.564	eV/atom
magnetic moment	0.000	μB per atom

Lattice parameters (Å, degrees): 3.9874 11.4130 11.5454 90.00 90.00 90.00
With the nearest neighbours (Å) after each atom.
Space group Amm2 (No. 38)
Asymmetric unit:
Pm: 0.0000 0.0000 0.0000  6 Pd 3.10-3.11
Pm: 0.0000 0.1668 0.6677  6 Pd 3.09-3.12
Pr: 0.0000 0.0000 0.3332  6 Pd 3.14
Pr: 0.5000 0.2503 0.4175  4 Pd 3.18-3.24
Pd: 0.5000 0.0000 0.5439  1 Pd 2.89, 4 Pm 3.11, 4 Pr 3.14-3.21
Pd: 0.5000 0.0000 0.7941  1 Pd 2.89, 6 Pm 3.10-3.12, 2 Pr 3.19
Pd: 0.5000 0.1267 0.1645  1 Pd 2.89, 4 Pm 3.09-3.11, 3 Pr 3.14-3.18

=====

This record from the Alexandria database describes a relaxed PmPr2Pd2 crystal. The functional is GGA-PBE.

Properties
polymorph energy (0 for the lowest one)	0.000	eV per atom
magnetic moment	0.000	μB per atom

Lattice parameters (Å, degrees): 8.0945 8.0945 4.0537 90.00 90.00 90.00
With the nearest neighbours (Å) after each atom.
Space group P4/mbm (No. 127)
Asymmetric unit:
Pm: 0.0000 0.0000 0.0000  4 Pd 3.19
Pr: 0.1681 0.3319 0.5000  6 Pd 3.10-3.15
Pd: 0.1270 0.6270 0.0000  1 Pd 2.91, 6 Pr 3.10-3.15, 2 Pm 3.19

=====

This record from the Alexandria database describes a relaxed PmPr4Pd2 crystal. The functional is GGA-PBE.

Properties
polymorph energy (0 for the lowest one)	0.007	eV per atom
magnetic moment	0.000	μB per atom

Lattice parameters (Å, degrees): 4.1174 4.1174 47.0000 90.00 90.00 120.00
With the nearest neighbours (Å) after each atom.
Space group R-3m (No. 166, hexagonal axes)
Asymmetric unit:
Pm: 0.0000 0.0000 0.0000  6 Pr 3.75, 6 Pm 4.12
Pr: 0.0000 0.0000 0.1989  3 Pd 2.92
Pr: 0.0000 0.0000 0.3951  3 Pd 2.93
Pd: 0.0000 0.0000 0.0983  6 Pr 2.92-2.93

=====

This record from the Alexandria database describes a relaxed Pm3PrPd crystal. The functional is GGA-PBE.

Properties
polymorph energy (0 for the lowest one)	0.119	eV per atom
magnetic moment	0.000	μB per atom

Lattice parameters (Å, degrees): 7.8610 7.8610 6.0720 90.00 90.00 120.00
With the nearest neighbours (Å) after each atom.
Space group P6_3/mmc (No. 194)
Asymmetric unit:
Pm: 0.1824 0.3647 0.2500  2 Pd 2.91
Pr: 0.3333 0.6667 0.7500  12 Pm 3.67-3.94
Pd: 0.0000 0.0000 0.0000  6 Pm 2.91, 2 Pd 3.04